Below is an optimized crystal structure of ZnFeI5, with properties calculated at the PBE level.

The structure in POSCAR format:
```
ZnFeI5
1.0
8.247 0.000 0.000
0.000 14.655 0.000
0.000 0.000 11.701
Zn Fe I
4 4 20
Direct
0.750 0.569 0.103
0.250 0.069 0.397
0.750 0.931 0.603
0.250 0.431 0.897
0.750 0.402 0.791
0.250 0.902 0.709
0.750 0.098 0.291
0.250 0.598 0.209
0.498 0.310 0.862
0.002 0.310 0.862
0.502 0.690 0.138
0.998 0.690 0.138
0.498 0.190 0.362
0.502 0.810 0.638
0.998 0.810 0.638
0.002 0.190 0.362
0.250 0.916 0.920
0.750 0.084 0.080
0.250 0.584 0.420
0.750 0.416 0.580
0.250 0.922 0.290
0.750 0.422 0.210
0.750 0.078 0.710
0.250 0.578 0.790
0.250 0.066 0.630
0.250 0.434 0.130
0.750 0.934 0.370
0.750 0.566 0.870
```

* N(E_F): 1.675 states/eV per cell
* E_tot: -78.3 eV/cell
* M_tot: 0.716 μB/atom
* ΔE_f (raw): -0.297 eV per atom

Below is an optimized crystal structure of Zn2FeI, with properties calculated at the PBE level.

The structure in POSCAR format:
```
Zn2FeI
1.0
-4.483 1.971 0.153
-1.337 3.309 -3.357
-3.311 -1.175 -3.415
I Zn Fe
1 2 1
Direct
0.500 0.500 0.500
0.250 0.250 0.250
0.750 0.750 0.750
0.000 0.000 0.000
```

* N(E_F): 5.199 states/eV per cell
* E_tot: -8.9 eV/cell
* E above lowest polymorph: 0.354 eV per atom
* M_tot: 0.769 μB/atom
* ΔE_f (raw): 0.908 eV per atom